Crystalline TcHgPb2 at its relaxed geometry, computed with GGA-PBE.

Cell and atoms, written as POSCAR:
```
TcHgPb2
1.0
5.1601 0.0000 0.0000
2.5800 4.4688 0.0000
2.5800 1.4896 4.2132
Hg Pb Tc
1 2 1
direct
0.5000 0.5000 0.5000 Hg
0.2500 0.2500 0.2500 Pb
0.0000 0.0000 0.0000 Pb
0.7500 0.7500 0.7500 Tc
```

Values from the calculation:
DOS at the Fermi energy	4.355	states/eV per cell
formation energy from the elements	0.792	eV/atom
calculated volume	97.2	Å³ per cell